# 1
# Cs2PI2Cl4

Cs2PI2Cl4 after structural relaxation (PBE, Alexandria via LeMat-Bulk).

```
data_Cs2PI2Cl4
_chemical_formula_sum 'Cs4 P2 I4 Cl8'
_space_group_name_H-M_alt 'I 4/m m m'
_space_group_IT_number 139
_space_group_name_Hall '-I 4 2'
_cell_length_a 8.3389
_cell_length_b 8.3389
_cell_length_c 8.8814
_cell_angle_alpha 90.00
_cell_angle_beta 90.00
_cell_angle_gamma 90.00
loop_
_atom_site_label
_atom_site_fract_x
_atom_site_fract_y
_atom_site_fract_z
Cs1 0.0000 0.5000 0.2500
P1 0.0000 0.0000 0.0000
I1 0.0000 0.0000 0.3069
Cl1 0.1990 0.1990 0.0000
```

E_form (uncorrected) = -1.0274 eV/atom

=====

# 2
# LiHoZrOs

LiHoZrOs after structural relaxation (PBE, Alexandria via LeMat-Bulk).

```
data_LiHoZrOs
_chemical_formula_sum 'Li4 Ho4 Zr4 Os4'
_space_group_name_H-M_alt 'F -4 3 m'
_space_group_IT_number 216
_space_group_name_Hall 'F -4 2 3'
_cell_length_a 6.7403
_cell_length_b 6.7403
_cell_length_c 6.7403
_cell_angle_alpha 90.00
_cell_angle_beta 90.00
_cell_angle_gamma 90.00
loop_
_atom_site_label
_atom_site_fract_x
_atom_site_fract_y
_atom_site_fract_z
Li1 0.0000 0.0000 0.0000
Ho1 0.2500 0.2500 0.7500
Zr1 0.2500 0.2500 0.2500
Os1 0.0000 0.0000 0.5000
```

E_form = -258.0 meV/atom

=====

# 3
# NaSr4Li2

NaSr4Li2 after structural relaxation (PBE, Alexandria via LeMat-Bulk).

```
data_NaSr4Li2
_chemical_formula_sum 'Na3 Sr12 Li6'
_space_group_name_H-M_alt 'R -3 m'
_space_group_IT_number 166
_space_group_name_Hall '-R 3 2"'
_cell_length_a 6.1515
_cell_length_b 6.1515
_cell_length_c 29.5317
_cell_angle_alpha 90.00
_cell_angle_beta 90.00
_cell_angle_gamma 120.00
loop_
_atom_site_label
_atom_site_fract_x
_atom_site_fract_y
_atom_site_fract_z
Na1 0.0000 0.0000 0.0000
Sr1 0.0000 0.0000 0.2139
Sr2 0.0000 0.0000 0.3759
Li1 0.0000 0.0000 0.0960
```

E_form = 154.6 meV/atom
ΔE to the lowest computed polymorph = 0.072 eV per atom

=====

# 4
# K2MnB2S6

K2MnB2S6 after structural relaxation (PBE, Alexandria via LeMat-Bulk).

```
data_K2MnB2S6
_chemical_formula_sum 'K6 Mn3 B6 S18'
_space_group_name_H-M_alt 'R -3 m'
_space_group_IT_number 166
_space_group_name_Hall '-R 3 2"'
_cell_length_a 6.4018
_cell_length_b 6.4018
_cell_length_c 20.7458
_cell_angle_alpha 90.00
_cell_angle_beta 90.00
_cell_angle_gamma 120.00
loop_
_atom_site_label
_atom_site_fract_x
_atom_site_fract_y
_atom_site_fract_z
K1 0.0000 0.0000 0.2183
Mn1 0.0000 0.0000 0.0000
B1 0.0000 0.0000 0.3967
S1 0.0073 0.5037 0.2591
```

E_form (uncorrected) = -0.5724 eV/atom

=====

Which formula does entry 3 have?
NaSr4Li2